No. 1
DFT (PBE) results for an optimized crystal structure of Dy5ThIn4.

Structure (extended XYZ):
```
10
Lattice="3.529 0.000 0.000 0.000 3.529 0.000 0.000 0.000 22.041" Properties=species:S:1:pos:R:3 pbc="T T T"
Dy 0.000 0.000 0.000
Dy 0.000 0.000 4.275
Dy 0.000 0.000 8.555
Dy 0.000 0.000 13.485
Dy 0.000 0.000 17.766
Th 1.764 1.764 11.020
In 1.764 1.764 2.138
In 1.764 1.764 6.421
In 1.764 1.764 15.620
In 1.764 1.764 19.902
```

Values from the calculation:
Formation energy from the elements ... -3.830 eV/f.u.
Space-group type ... P4/mmm

No. 2
DFT (PBE) results for an optimized crystal structure of O2F.

Structure (extended XYZ):
```
6
Lattice="4.300 0.000 0.000 1.997 4.377 0.000 1.204 2.043 4.643" Properties=species:S:1:pos:R:3 pbc="T T T"
O 0.741 0.813 1.120
O 2.810 4.259 1.886
O 4.690 2.161 2.757
O 6.759 5.607 3.523
F 2.262 1.436 0.743
F 5.238 4.984 3.899
```

Values from the calculation:
E ... -4.01 eV per atom
Space-group type ... P-1